[1]
Material: AcCd2
Method: DFT, GGA-PBE
State: relaxed

Structure (extended XYZ):
```
6
Lattice="0.000 4.405 4.405 4.405 0.000 4.405 4.405 4.405 0.000" Properties=species:S:1:pos:R:3 pbc="T T T"
Ac 1.101 1.101 1.101
Ac 7.709 7.709 7.709
Cd 4.405 2.203 2.203
Cd 2.203 4.405 2.203
Cd 2.203 2.203 4.405
Cd 4.405 4.405 4.405
```

## Properties
uncorrected energy = -2.287 eV per atom
space group = Fd-3m, No. 227
DOS at the Fermi energy = 1.79 states/eV/f.u.
calculated volume = 171.0 Å³ per cell
distance to the lowest polymorph of the same formula = 2.9 kJ per mole of atoms

[2]
Material: Ac2Cd3
Method: DFT, GGA-PBE
State: relaxed

Structure (extended XYZ):
```
5
Lattice="2.665 1.539 6.494 -2.665 1.539 6.494 0.000 -3.077 6.494" Properties=species:S:1:pos:R:3 pbc="T T T"
Ac 0.000 0.000 1.821
Ac 0.000 0.000 17.661
Cd 0.000 0.000 6.302
Cd 0.000 0.000 9.741
Cd 0.000 0.000 13.181
```

## Properties
uncorrected energy = -2.436 eV per atom
space group = R-3m, No. 166
DOS at the Fermi energy = 4.13 states/eV/f.u.
calculated volume = 159.8 Å³ per cell
distance to the lowest polymorph of the same formula = 5.3 kJ per mole of atoms